# 1
A plane-wave DFT calculation with PBE was carried out for an optimized crystal structure of NdGd2Zn.

Cell lengths 3.5191, 3.5191, 35.7331 Å; angles 90.00, 90.00, 120.00 degrees
Closest atoms and distances in Å follow each position.
Space group R-3m (No. 166, hexagonal axes)
Symmetry-distinct sites (fractional):
Nd  0.0000  0.0000  0.0000 (multiplicity 3)  6 Nd 3.52, 6 Gd 3.55
Gd  0.0000  0.0000  0.4147 (multiplicity 6)  1 Zn 3.05
Zn  0.0000  0.0000  0.5000 (multiplicity 3)  2 Gd 3.05

Calculated values
- Calculated formation energy: 265 meV/atom
- Energy above the lowest structure with this stoichiometry: 0.4284 eV per atom


# 2
A plane-wave DFT calculation with PBE was carried out for an optimized crystal structure of CeTmSn.

Cell lengths 5.4052, 5.4052, 6.4296 Å; angles 90.00, 90.00, 120.00 degrees
Closest atoms and distances in Å follow each position.
Space group P6_3/mmc (No. 194)
Symmetry-distinct sites (fractional):
Ce  0.0000  0.0000  0.0000 (multiplicity 2)  2 Ce 3.21, 6 Sn 3.51, 6 Tm 3.51
Tm  0.3333  0.6667  0.2500 (multiplicity 2)  5 Sn 3.12-3.21
Sn  0.3333  0.6667  0.7500 (multiplicity 2)  5 Tm 3.12-3.21

Calculated values
- Calculated formation energy: -549 meV/atom


# 3
A plane-wave DFT calculation with PBE was carried out for an optimized crystal structure of Co3SiH.

Cell lengths 3.5698, 3.5698, 9.7733 Å; angles 90.00, 90.00, 120.00 degrees
Closest atoms and distances in Å follow each position.
Space group P6_3/mmc (No. 194)
Symmetry-distinct sites (fractional):
Co  0.0000  0.0000  0.2500 (multiplicity 2)  3 H 2.06
Co  0.3333  0.6667  0.0882 (multiplicity 4)  1 H 1.58
Si  0.0000  0.0000  0.0000 (multiplicity 2)  8 Co 2.23-2.44
H  0.3333  0.6667  0.2500 (multiplicity 2)  2 Co 1.58

Calculated values
- Energy above the lowest structure with this stoichiometry: 0.3560 eV per atom


# 4
A plane-wave DFT calculation with PBE was carried out for an optimized crystal structure of KCaBeF6.

Cell lengths 5.4587, 5.4587, 5.5780 Å; angles 90.00, 90.00, 120.00 degrees
Closest atoms and distances in Å follow each position.
Space group P312 (No. 149)
Symmetry-distinct sites (fractional):
K  0.0000  0.0000  0.0000 (multiplicity 1)  6 F 2.70
Ca  0.3333  0.6667  0.5000 (multiplicity 1)  6 F 2.27
Be  0.6667  0.3333  0.5000 (multiplicity 1)  6 F 1.77
F  0.4018  0.0678  0.6819 (multiplicity 6)  1 Be 1.77

Calculated values
- Formation energy (no corrections): -2483 kJ/mol of formula units


V, respectively: 31.936 27.114 10.786 15.994 Å³ per atom.